CrSnAsO6 | PBE with a Hubbard U | optimized geometry

Unit cell a=4.620 b=4.620 c=9.144 alpha=90.00 beta=90.00 gamma=90.00
Space group P4_2nm (No. 102)
Inequivalent atoms, fractional coordinates:
Cr  0.000  0.000  0.000 [2 per cell]
Sn  0.000  0.000  0.668 [2 per cell]
As  0.000  0.000  0.334 [2 per cell]
O  0.182  0.182  0.177 [4 per cell]
O  0.190  0.190  0.487 [4 per cell]
O  0.210  0.210  0.837 [4 per cell]

Values from the calculation:
E_tot in Ry per atom: -0.4871
Mass density in g/cm3: 5.81